(1)
# Th3MgMn (PBE, relaxed)
# D(E_F)	4.8	states/eV per cell
# formation energy	0.32	eV/f.u.
# calculated total energy	-6.541	eV/atom
# V	144.51	Å³/cell
data_Th3MgMn
_chemical_formula_sum 'Th3 Mg1 Mn1'
_space_group_name_H-M_alt 'P 1'
_space_group_IT_number 1
_space_group_name_Hall 'P 1'
_cell_length_a 5.248
_cell_length_b 5.248
_cell_length_c 5.248
_cell_angle_alpha 90.00
_cell_angle_beta 90.00
_cell_angle_gamma 90.00
loop_
_atom_site_label
_atom_site_type_symbol
_atom_site_fract_x
_atom_site_fract_y
_atom_site_fract_z
_atom_site_occupancy
Th1 Th 0.000 0.000 0.500 1
Mn1 Mn 0.000 0.000 0.000 1
Th2 Th 0.500 0.000 0.000 1
Th3 Th 0.000 0.500 0.000 1
Mg1 Mg 0.500 0.500 0.500 1


(2)
# Tb12Nd7Tl (PBE, relaxed)
# D(E_F)	28.0	states/eV per cell
# formation energy	3.09	eV/f.u.
# calculated total energy	-4.411	eV/atom
# V	668.53	Å³/cell
data_Tb12Nd7Tl
_chemical_formula_sum 'Tb12 Nd7 Tl1'
_space_group_name_H-M_alt 'P 1'
_space_group_IT_number 1
_space_group_name_Hall 'P 1'
_cell_length_a 8.753
_cell_length_b 8.753
_cell_length_c 8.753
_cell_angle_alpha 87.31
_cell_angle_beta 87.31
_cell_angle_gamma 87.31
loop_
_atom_site_label
_atom_site_type_symbol
_atom_site_fract_x
_atom_site_fract_y
_atom_site_fract_z
_atom_site_occupancy
Tb1 Tb 0.141 0.503 0.610 1
Tb2 Tb 0.503 0.610 0.141 1
Tb3 Tb 0.866 0.248 0.743 1
Tl1 Tl 0.000 0.000 0.000 1
Nd1 Nd 0.146 0.392 0.081 1
Tb4 Tb 0.752 0.257 0.134 1
Nd2 Nd 0.854 0.608 0.919 1
Nd3 Nd 0.500 0.500 0.500 1
Nd4 Nd 0.081 0.146 0.392 1
Tb5 Tb 0.134 0.752 0.257 1
Tb6 Tb 0.248 0.743 0.866 1
Nd5 Nd 0.608 0.919 0.854 1
Tb7 Tb 0.610 0.141 0.503 1
Tb8 Tb 0.390 0.859 0.497 1
Tb9 Tb 0.257 0.134 0.752 1
Tb10 Tb 0.859 0.497 0.390 1
Nd6 Nd 0.919 0.854 0.608 1
Tb11 Tb 0.743 0.866 0.248 1
Nd7 Nd 0.392 0.081 0.146 1
Tb12 Tb 0.497 0.390 0.859 1